No. 1
# ZrTi2As | the Alexandria database | GGA-PBE | relaxed
data_ZrTi2As
_cell_length_a 7.659
_cell_length_b 7.659
_cell_length_c 5.351
_cell_angle_alpha 90.00
_cell_angle_beta 90.00
_cell_angle_gamma 90.00
_space_group_name_H-M_alt 'I -4 2 d'
_space_group_IT_number 122
_space_group_name_Hall 'I -4 2bw'
loop_
_atom_site_label
_atom_site_type_symbol
_atom_site_fract_x
_atom_site_fract_y
_atom_site_fract_z
_atom_site_occupancy
Zr1 Zr 0.000 0.000 0.000 1
Ti1 Ti 0.198 0.250 0.625 1
As1 As 0.000 0.000 0.500 1
# Formation enthalpy at 0 K (eV/atom): -0.14
# Volume (A^3/atom): 19.62
# Energy (eV per atom): -7.3881



No. 2
# Li2CaPb3 | the Alexandria database | GGA-PBE | relaxed
data_Li2CaPb3
_cell_length_a 3.543
_cell_length_b 3.543
_cell_length_c 11.985
_cell_angle_alpha 90.00
_cell_angle_beta 90.00
_cell_angle_gamma 90.00
_space_group_name_H-M_alt 'P 4/m m m'
_space_group_IT_number 123
_space_group_name_Hall '-P 4 2'
loop_
_atom_site_label
_atom_site_type_symbol
_atom_site_fract_x
_atom_site_fract_y
_atom_site_fract_z
_atom_site_occupancy
Li1 Li 0.000 0.000 0.155 1
Ca1 Ca 0.000 0.000 0.500 1
Pb1 Pb 0.500 0.500 0.000 1
Pb2 Pb 0.500 0.500 0.305 1
# Formation enthalpy at 0 K (eV/atom): -0.34
# Volume (A^3/atom): 25.08
# Energy (eV per atom): -3.1620



No. 3
# La3GdRu | the Alexandria database | GGA-PBE | relaxed
data_La3GdRu
_cell_length_a 5.600
_cell_length_b 5.600
_cell_length_c 5.600
_cell_angle_alpha 90.00
_cell_angle_beta 90.00
_cell_angle_gamma 90.00
_space_group_name_H-M_alt 'P m -3 m'
_space_group_IT_number 221
_space_group_name_Hall '-P 4 2 3'
loop_
_atom_site_label
_atom_site_type_symbol
_atom_site_fract_x
_atom_site_fract_y
_atom_site_fract_z
_atom_site_occupancy
La1 La 0.000 0.000 0.500 1
Gd1 Gd 0.500 0.500 0.500 1
Ru1 Ru 0.000 0.000 0.000 1
# Formation enthalpy at 0 K (eV/atom): -0.07
# Volume (A^3/atom): 35.13
# Energy (eV per atom): -7.6983